This record from Alexandria via LeMat-Bulk describes crystalline NaLuInPt at its relaxed geometry. The functional is PBE.

POSCAR file:
```
NaLuInPt
1.0
4.859 0.000 0.000
2.430 4.208 0.000
2.430 1.403 3.967
In Lu Pt Na
1 1 1 1
Cartesian
4.859 2.805 1.984 In
0.000 0.000 0.000 Lu
7.289 4.208 2.976 Pt
2.430 1.403 0.992 Na
```

Uncorrected energy (eV per atom): -4.205
Space group: F-43m
Calculated formation energy (meV/atom): -550

This record from Alexandria via LeMat-Bulk describes crystalline NaSmLuIn at its relaxed geometry. The functional is PBE.

POSCAR file:
```
NaSmLuIn
1.0
5.396 0.000 0.000
2.698 4.673 0.000
2.698 1.558 4.406
Sm In Lu Na
1 1 1 1
Cartesian
8.094 4.673 3.304 Sm
0.000 0.000 0.000 In
2.698 1.558 1.101 Lu
5.396 3.115 2.203 Na
```

Uncorrected energy (eV per atom): -3.432
Space group: F-43m
Calculated formation energy (meV/atom): -108

This record from Alexandria via LeMat-Bulk describes crystalline NaLuInSn at its relaxed geometry. The functional is PBE.

POSCAR file:
```
NaLuInSn
1.0
-2.962 0.578 -4.313
0.329 -3.510 -3.908
-3.994 -3.305 -0.912
In Na Lu Sn
1 1 1 1
Cartesian
-4.970 -4.678 -6.850 In
-3.313 -3.119 -4.566 Na
0.000 0.000 0.000 Lu
-1.657 -1.559 -2.283 Sn
```

Uncorrected energy (eV per atom): -3.405
Space group: F-43m
Calculated formation energy (meV/atom): -260

This record from Alexandria via LeMat-Bulk describes crystalline NaSrLuIn at its relaxed geometry. The functional is PBE.

POSCAR file:
```
NaSrLuIn
1.0
-0.689 0.841 5.486
-5.049 -0.650 2.316
-0.983 -4.337 3.392
Lu Sr In Na
1 1 1 1
Cartesian
-1.680 -1.037 2.798 Lu
-5.041 -3.110 8.395 Sr
0.000 0.000 0.000 In
-3.361 -2.073 5.597 Na
```

Uncorrected energy (eV per atom): -2.642
Space group: F-43m
Calculated formation energy (meV/atom): -77

This record from Alexandria via LeMat-Bulk describes crystalline NaTbLuIn at its relaxed geometry. The functional is PBE.

POSCAR file:
```
NaTbLuIn
1.0
-4.265 -2.329 2.247
-0.250 -5.335 0.375
0.452 -2.371 4.779
Lu Na Tb In
1 1 1 1
Cartesian
-1.016 -2.509 1.850 Lu
0.000 0.000 0.000 Na
-3.047 -7.526 5.551 Tb
-2.031 -5.017 3.700 In
```

Uncorrected energy (eV per atom): -3.398
Space group: F-43m
Calculated formation energy (meV/atom): -96

This record from Alexandria via LeMat-Bulk describes crystalline Lu2NbIn at its relaxed geometry. The functional is PBE.

POSCAR file:
```
Lu2NbIn
1.0
-0.959 3.101 -0.715
-1.522 0.646 -2.883
-9.884 -0.541 3.183
In Lu Nb
1 2 1
Cartesian
-6.182 1.603 -0.207 In
-2.990 0.821 -0.152 Lu
-9.374 2.384 -0.262 Lu
0.000 0.000 0.000 Nb
```

Uncorrected energy (eV per atom): -5.441
Space group: R-3m
Calculated formation energy (meV/atom): 22

Computed values of calculated volume (unit: A^3/atom) for the preceding records, in sequence: 20.3 27.8 25.8 30.9 27.1 24.4.